# CdSi2Ag2 (GGA-PBE, relaxed)
data_CdSi2Ag2
_space_group_name_H-M_alt 'I 4/m m m'
_space_group_IT_number 139
_space_group_name_Hall '-I 4 2'
_cell_length_a 3.558
_cell_length_b 3.558
_cell_length_c 14.593
_cell_angle_alpha 90.00
_cell_angle_beta 90.00
_cell_angle_gamma 90.00
loop_
_atom_site_label
_atom_site_fract_x
_atom_site_fract_y
_atom_site_fract_z
Cd1 0.000 0.000 0.000
Si1 0.000 0.500 0.250
Ag1 0.000 0.000 0.398
# Total moment in Bohr magnetons per cell: 0.00
# Raw formation energy in eV per atom: 0.25
# Energy above the lowest structure with this stoichiometry in eV/atom: 0.0000
# ρ in Mg/m³: 6.9